(1)
SiOsN2F | PBEsol | relaxed

```
SiOsN2F
1.0
-3.314 -0.019 -1.920
1.764 -1.544 -3.029
-0.770 -3.559 1.366
Si N Os F
1 2 1 1
direct
0.500 0.500 0.500 Si
0.000 0.500 0.000 N
0.500 0.000 0.000 N
0.000 0.000 0.500 Os
0.000 0.000 0.000 F
```

Calculated total energy (eV for the cell shown): -25.1
Formation energy from raw total energies (eV per atom): 2.366

***

(2)
SrOsN2F | PBEsol | relaxed

```
SrOsN2F
1.0
3.824 0.000 0.000
0.000 3.824 0.000
0.000 0.000 4.641
Sr N Os F
1 2 1 1
direct
0.500 0.500 0.500 Sr
0.000 0.500 0.000 N
0.500 0.000 0.000 N
0.000 0.000 0.000 Os
0.000 0.000 0.500 F
```

Calculated total energy (eV for the cell shown): -37.2
Formation energy from raw total energies (eV per atom): -0.836

***

(3)
TeOsN2F | PBEsol | relaxed

```
TeOsN2F
1.0
3.925 0.000 0.000
0.000 3.925 0.000
0.000 0.000 4.132
N Te Os F
2 1 1 1
direct
0.000 0.500 0.000 N
0.500 0.000 0.000 N
0.500 0.500 0.500 Te
0.000 0.000 0.000 Os
0.000 0.000 0.500 F
```

Calculated total energy (eV for the cell shown): -32.2
Formation energy from raw total energies (eV per atom): 0.509

***

(4)
TiOsN2F | PBEsol | relaxed

```
TiOsN2F
1.0
3.614 0.000 0.000
0.000 3.960 0.000
0.000 0.000 3.960
N F Os Ti
2 1 1 1
direct
0.000 0.000 0.500 N
0.000 0.500 0.000 N
0.500 0.000 0.000 F
0.500 0.500 0.500 Os
0.000 0.000 0.000 Ti
```

Calculated total energy (eV for the cell shown): -38.0
Formation energy from raw total energies (eV per atom): 0.313

***

(5)
YOsNF2 | PBEsol | relaxed

```
YOsNF2
1.0
3.737 0.000 0.000
0.000 4.383 0.000
0.000 0.000 4.383
Y N Os F
1 1 1 2
direct
0.500 0.500 0.500 Y
0.500 0.000 0.000 N
0.000 0.000 0.000 Os
0.000 0.000 0.500 F
0.000 0.500 0.000 F
```

Calculated total energy (eV for the cell shown): -35.5
Formation energy from raw total energies (eV per atom): -0.820

***

(6)
PPtN2F | PBEsol | relaxed

```
PPtN2F
1.0
-1.222 0.205 -3.290
1.524 -3.220 -0.766
-3.058 -1.693 1.030
P N Pt F
1 2 1 1
direct
0.000 0.000 0.000 P
0.000 0.000 0.500 N
0.000 0.500 0.000 N
0.500 0.500 0.500 Pt
0.500 0.000 0.000 F
```

Calculated total energy (eV for the cell shown): -28.5
Formation energy from raw total energies (eV per atom): 0.646

***

(7)
PPtNF2 | PBEsol | relaxed

```
PPtNF2
1.0
3.696 0.000 0.000
0.000 4.341 0.000
0.000 0.000 4.341
P N Pt F
1 1 1 2
direct
0.500 0.500 0.500 P
0.500 0.000 0.000 N
0.000 0.000 0.000 Pt
0.000 0.000 0.500 F
0.000 0.500 0.000 F
```

Calculated total energy (eV for the cell shown): -22.9
Formation energy from raw total energies (eV per atom): 0.450

***

(8)
PRuN2F | PBEsol | relaxed

```
PRuN2F
1.0
-2.091 2.410 -2.103
-2.260 -2.891 -1.066
-2.352 0.686 3.125
Ru N F P
1 2 1 1
direct
0.000 0.000 0.000 Ru
0.000 0.500 0.000 N
0.500 0.000 0.000 N
0.000 0.000 0.500 F
0.500 0.500 0.500 P
```

Calculated total energy (eV for the cell shown): -31.4
Formation energy from raw total energies (eV per atom): 0.717